Record 1
ZrBi3B: relaxed, PBE. Values from VASP.

formation enthalpy at 0 K = 0.788 eV/atom
crystal system = cubic
space group = No. 221
volume = 127 Å³ per cell

The structure in Quantum ESPRESSO input format:
```
&SYSTEM
  ibrav = 0, nat = 5, ntyp = 3
/
ATOMIC_SPECIES
B 10.81 B.upf
Bi 208.98 Bi.upf
Zr 91.22 Zr.upf
ATOMIC_POSITIONS crystal
B 0.000 0.000 0.000
Bi 0.000 0.500 0.000
Bi 0.000 0.000 0.500
Bi 0.500 0.000 0.000
Zr 0.500 0.500 0.500
CELL_PARAMETERS angstrom
-0.269 -3.583 -3.522
1.182 -3.473 3.443
-4.883 -0.643 1.028
```



Record 2
Rb2HIr2: relaxed, PBE. Values from VASP.

crystal system = tetragonal
space group = No. 127
volume = 305 Å³ per cell

The structure in Quantum ESPRESSO input format:
```
&SYSTEM
  ibrav = 0, nat = 10, ntyp = 3
/
ATOMIC_SPECIES
H 1.01 H.upf
Ir 192.22 Ir.upf
Rb 85.47 Rb.upf
ATOMIC_POSITIONS crystal
H 0.000 0.000 0.000
H 0.500 0.500 0.000
Ir 0.421 0.921 0.000
Ir 0.921 0.579 0.000
Ir 0.579 0.079 0.000
Ir 0.079 0.421 0.000
Rb 0.198 0.698 0.500
Rb 0.698 0.802 0.500
Rb 0.802 0.302 0.500
Rb 0.302 0.198 0.500
CELL_PARAMETERS angstrom
10.415 0.000 0.000
0.000 10.415 0.000
0.000 0.000 2.809
```



Record 3
CdP: relaxed, PBE. Values from VASP.

formation enthalpy at 0 K = 0.320 eV/atom
crystal system = tetragonal
space group = No. 129
volume = 83 Å³ per cell

The structure in Quantum ESPRESSO input format:
```
&SYSTEM
  ibrav = 0, nat = 4, ntyp = 2
/
ATOMIC_SPECIES
Cd 112.41 Cd.upf
P 30.97 P.upf
ATOMIC_POSITIONS crystal
Cd 0.250 0.250 0.994
Cd 0.750 0.750 0.006
P 0.250 0.750 0.000
P 0.750 0.250 0.000
CELL_PARAMETERS angstrom
5.444 0.000 0.000
0.000 5.444 0.000
0.000 0.000 2.794
```



Record 4
ZnSbI2F: relaxed, PBE. Values from VASP.

crystal system = tetragonal
uncorrected formation energy = 0.0966 eV per atom
space group = No. 123
volume = 156 Å³ per cell

The structure in Quantum ESPRESSO input format:
```
&SYSTEM
  ibrav = 0, nat = 5, ntyp = 4
/
ATOMIC_SPECIES
I 126.90 I.upf
Sb 121.76 Sb.upf
Zn 65.41 Zn.upf
F 19.00 F.upf
ATOMIC_POSITIONS crystal
I 0.000 0.500 0.000
I 0.500 0.000 0.000
Sb 0.000 0.000 0.500
Zn 0.000 0.000 0.000
F 0.500 0.500 0.500
CELL_PARAMETERS angstrom
-4.281 1.417 3.011
-3.308 -2.335 -3.605
0.348 -4.596 2.658
```



Record 5
NaSrEuSn: relaxed, PBE. Values from VASP.

formation enthalpy at 0 K = -0.398 eV/atom
crystal system = cubic
space group = No. 216
volume = 134 Å³ per cell

The structure in Quantum ESPRESSO input format:
```
&SYSTEM
  ibrav = 0, nat = 4, ntyp = 4
/
ATOMIC_SPECIES
Eu 151.96 Eu.upf
Sr 87.62 Sr.upf
Sn 118.71 Sn.upf
Na 22.99 Na.upf
ATOMIC_POSITIONS crystal
Eu 0.000 0.000 0.000
Sr 0.500 0.500 0.500
Sn 0.250 0.250 0.250
Na 0.750 0.750 0.750
CELL_PARAMETERS angstrom
-4.612 -1.974 2.807
0.354 -1.228 5.605
-2.669 3.335 3.847
```



Record 6
ZrMnCoIr: relaxed, PBE. Values from VASP.

formation enthalpy at 0 K = -0.358 eV/atom
crystal system = cubic
space group = No. 216
volume = 62 Å³ per cell

The structure in Quantum ESPRESSO input format:
```
&SYSTEM
  ibrav = 0, nat = 4, ntyp = 4
/
ATOMIC_SPECIES
Mn 54.94 Mn.upf
Ir 192.22 Ir.upf
Co 58.93 Co.upf
Zr 91.22 Zr.upf
ATOMIC_POSITIONS crystal
Mn 0.250 0.250 0.250
Ir 0.000 0.000 0.000
Co 0.500 0.500 0.500
Zr 0.750 0.750 0.750
CELL_PARAMETERS angstrom
-0.494 4.341 -0.778
-1.375 1.399 -3.981
-4.063 1.722 -0.465
```



Per-record VASP energy, eV/atom: -4.586; -3.403; -2.843; -1.977; -4.718; -8.779